DFT (GGA-PBE) results for crystalline Zn2Pt at its relaxed geometry.

Lattice parameters (Å, degrees): 4.3940 4.3940 5.3420 90.00 90.00 120.01
Sites, in units of the cell vectors:
Zn 0.0000 0.0000 0.5000
Zn 0.6666 0.3334 0.7500
Zn 0.3334 0.6666 0.2500
Zn 0.0000 0.0000 0.0000
Pt 0.6667 0.3333 0.2500
Pt 0.3333 0.6667 0.7500

* space-group type: P6_3/mmc (194)
* uncorrected energy: -3.24 eV/atom
* total magnetic moment: 0.0 Bohr magnetons per cell
* energy of formation: -0.376 eV/atom

DFT (GGA-PBE) results for crystalline ZnPt at its relaxed geometry.

Lattice parameters (Å, degrees): 7.5948 7.5948 2.7413 90.00 90.00 117.00
Sites, in units of the cell vectors:
Zn 0.1929 0.8071 0.5000
Zn 0.5189 0.0984 0.0000
Zn 0.5498 0.4502 0.0000
Zn 0.9016 0.4811 0.0000
Pt 0.7067 0.9516 0.5000
Pt 0.0306 0.9694 0.0000
Pt 0.3846 0.6154 0.5000
Pt 0.0484 0.2933 0.5000

* space-group type: Amm2 (38)
* uncorrected energy: -3.67 eV/atom
* total magnetic moment: 0.0 Bohr magnetons per cell
* energy of formation: -0.007 eV/atom

DFT (GGA-PBE) results for crystalline ZnPt15 at its relaxed geometry.

Lattice parameters (Å, degrees): 4.8222 36.7380 4.8234 90.00 109.98 90.00
Sites, in units of the cell vectors:
Pt 0.0000 0.4420 0.0000
Pt 0.0000 0.2447 0.5000
Pt 0.5000 0.6747 0.5000
Pt 0.5000 0.2868 0.5000
Pt 0.0000 0.7136 0.5000
Pt 0.0000 0.3646 0.0000
Pt 0.5000 0.4417 0.5000
Pt 0.0000 0.5968 0.0000
Pt 0.5000 0.6360 0.0000
Pt 0.0000 0.6355 0.5000
Pt 0.0000 0.7553 0.0000
Pt 0.5000 0.5583 0.0000
Pt 0.0000 0.6747 0.0000
Pt 0.5000 0.3253 0.0000
Pt 0.5000 0.5968 0.5000
Pt 0.5000 0.4032 0.0000
Pt 0.5000 0.7132 0.0000
Pt 0.5000 0.7553 0.5000
Pt 0.0000 0.2864 0.0000
Pt 0.5000 0.3640 0.5000
Pt 0.0000 0.4807 0.5000
Pt 0.5000 0.5193 0.5000
Pt 0.5000 0.2125 0.5000
Pt 0.0000 0.5580 0.5000
Pt 0.5000 0.7874 0.0000
Pt 0.0000 0.4032 0.5000
Pt 0.5000 0.4807 0.0000
Pt 0.5000 0.2447 0.0000
Pt 0.0000 0.3253 0.5000
Pt 0.0000 0.5193 0.0000
Zn 0.0000 0.2122 0.0000
Zn 0.0000 0.7878 0.5000

* space-group type: P2/c (13)
* uncorrected energy: -5.70 eV/atom
* total magnetic moment: 0.0 Bohr magnetons per cell
* energy of formation: 0.056 eV/atom

DFT (GGA-PBE) results for crystalline ZnPt15 at its relaxed geometry.

Lattice parameters (Å, degrees): 3.9393 3.9369 45.5193 90.00 90.00 90.00
Sites, in units of the cell vectors:
Pt 0.2500 0.5000 0.3011
Pt 0.2500 0.5000 0.7437
Pt 0.7500 0.0000 0.7426
Pt 0.2500 0.0000 0.6989
Pt 0.2500 0.5000 0.6545
Pt 0.7500 0.0000 0.5662
Pt 0.7500 0.5000 0.2563
Pt 0.2500 0.0000 0.2574
Pt 0.7500 0.0000 0.3895
Pt 0.7500 0.0000 0.3011
Pt 0.2500 0.0000 0.5220
Pt 0.2500 0.5000 0.3896
Pt 0.7500 0.5000 0.6104
Pt 0.7500 0.5000 0.3455
Pt 0.7500 0.0000 0.4780
Pt 0.7500 0.5000 0.1702
Pt 0.7500 0.0000 0.2122
Pt 0.2500 0.0000 0.6105
Pt 0.2500 0.5000 0.8298
Pt 0.7500 0.5000 0.7877
Pt 0.7500 0.5000 0.6989
Pt 0.2500 0.5000 0.2123
Pt 0.7500 0.0000 0.6548
Pt 0.2500 0.0000 0.3452
Pt 0.2500 0.5000 0.5663
Pt 0.2500 0.0000 0.4338
Pt 0.7500 0.5000 0.4337
Pt 0.7500 0.5000 0.5221
Pt 0.2500 0.0000 0.7878
Pt 0.2500 0.5000 0.4779
Zn 0.2500 0.0000 0.1690
Zn 0.7500 0.0000 0.8310

* space-group type: Pmma (51)
* uncorrected energy: -5.73 eV/atom
* total magnetic moment: 0.0 Bohr magnetons per cell
* energy of formation: 0.026 eV/atom

DFT (GGA-PBE) results for crystalline ZnPt at its relaxed geometry.

Lattice parameters (Å, degrees): 7.2488 5.6730 4.4246 90.00 90.00 101.20
Sites, in units of the cell vectors:
Pt 0.5728 0.8946 0.5000
Pt 0.9269 0.2030 0.5000
Pt 0.9620 0.5192 0.0000
Pt 0.5765 0.3917 0.5000
Pt 0.3123 0.3305 0.0000
Pt 0.3161 0.8277 0.0000
Zn 0.6515 0.1630 0.0000
Zn 0.8887 0.7221 0.5000
Zn 0.2375 0.5594 0.5000
Zn 0.0002 0.0000 0.0000
Zn 0.6345 0.6577 0.0000
Zn 0.2543 0.0645 0.5000

* space-group type: P2_1/m (11)
* uncorrected energy: -4.10 eV/atom
* total magnetic moment: 0.0 Bohr magnetons per cell
* energy of formation: -0.443 eV/atom

DFT (GGA-PBE) results for crystalline ZnPt at its relaxed geometry.

Lattice parameters (Å, degrees): 7.2470 5.5430 4.5742 90.00 90.00 101.18
Sites, in units of the cell vectors:
Zn 0.2247 0.5508 0.5000
Zn 0.3580 0.8416 0.0000
Zn 0.9974 0.5047 0.0000
Zn 0.8643 0.2140 0.5000
Zn 0.9937 0.9963 0.0000
Zn 0.2285 0.0592 0.5000
Pt 0.3062 0.3269 0.0000
Pt 0.9161 0.7288 0.5000
Pt 0.6788 0.1741 0.0000
Pt 0.6767 0.6670 0.0000
Pt 0.5456 0.3885 0.5000
Pt 0.5434 0.8814 0.5000

* space-group type: P2_1/m (11)
* uncorrected energy: -4.03 eV/atom
* total magnetic moment: 0.0 Bohr magnetons per cell
* energy of formation: -0.369 eV/atom

DFT (GGA-PBE) results for crystalline ZnPt at its relaxed geometry.

Lattice parameters (Å, degrees): 4.7823 7.2526 4.5344 90.00 90.00 70.76
Sites, in units of the cell vectors:
Pt 0.2035 0.8140 0.5000
Pt 0.8459 0.8198 0.0000
Pt 0.4595 0.6000 0.0000
Pt 0.4175 0.3861 0.5000
Pt 0.0657 0.3801 0.0000
Zn 0.2609 0.9925 0.0000
Zn 0.6533 0.2075 0.0000
Zn 0.0082 0.2035 0.5000
Zn 0.6117 0.9965 0.5000
Zn 0.8070 0.6000 0.5000

* space-group type: Amm2 (38)
* uncorrected energy: -4.06 eV/atom
* total magnetic moment: 0.0 Bohr magnetons per cell
* energy of formation: -0.401 eV/atom

DFT (GGA-PBE) results for crystalline ZnPt15 at its relaxed geometry.

Lattice parameters (Å, degrees): 7.9249 2.7731 36.5641 90.00 90.11 90.00
Sites, in units of the cell vectors:
Pt 0.6238 0.0000 0.5593
Pt 0.6234 0.0000 0.4808
Pt 0.6374 0.0000 0.2432
Pt 0.1261 0.0000 0.5573
Pt 0.3751 0.5000 0.2150
Pt 0.1253 0.0000 0.6352
Pt 0.1246 0.0000 0.7147
Pt 0.1268 0.0000 0.4804
Pt 0.6248 0.0000 0.6369
Pt 0.8739 0.5000 0.4427
Pt 0.6259 0.0000 0.4027
Pt 0.3741 0.5000 0.5973
Pt 0.8754 0.5000 0.2853
Pt 0.3752 0.5000 0.3631
Pt 0.8759 0.5000 0.5969
Pt 0.8747 0.5000 0.3649
Pt 0.3762 0.5000 0.4407
Pt 0.1241 0.0000 0.4031
Pt 0.3744 0.5000 0.2883
Pt 0.3626 0.5000 0.7568
Pt 0.6249 0.0000 0.7849
Pt 0.8732 0.5000 0.5196
Pt 0.6310 0.0000 0.3246
Pt 0.1191 0.0000 0.3251
Pt 0.3690 0.5000 0.6754
Pt 0.8870 0.5000 0.7568
Pt 0.8809 0.5000 0.6749
Pt 0.6256 0.0000 0.7117
Pt 0.3766 0.5000 0.5192
Pt 0.1130 0.0000 0.2432
Zn 0.8749 0.5000 0.2124
Zn 0.1251 0.0000 0.7876

* space-group type: P2_1/m (11)
* uncorrected energy: -5.70 eV/atom
* total magnetic moment: 0.4 Bohr magnetons per cell
* energy of formation: 0.055 eV/atom

DFT (GGA-PBE) results for crystalline ZnPt15 at its relaxed geometry.

Lattice parameters (Å, degrees): 5.5339 3.9338 36.8722 90.00 90.02 90.00
Sites, in units of the cell vectors:
Pt 0.6247 0.2500 0.4808
Pt 0.8754 0.7500 0.5971
Pt 0.1226 0.2500 0.2451
Pt 0.3725 0.7500 0.7549
Pt 0.6272 0.2500 0.3249
Pt 0.3728 0.7500 0.6751
Pt 0.3751 0.7500 0.2124
Pt 0.3750 0.7500 0.3637
Pt 0.6275 0.2500 0.2451
Pt 0.8774 0.7500 0.7549
Pt 0.8747 0.7500 0.4420
Pt 0.3745 0.7500 0.5972
Pt 0.1250 0.2500 0.6359
Pt 0.8745 0.7500 0.5195
Pt 0.8750 0.7500 0.3641
Pt 0.6255 0.2500 0.4028
Pt 0.1229 0.2500 0.3249
Pt 0.8751 0.7500 0.2854
Pt 0.1255 0.2500 0.4805
Pt 0.6252 0.2500 0.7128
Pt 0.6250 0.2500 0.6363
Pt 0.1253 0.2500 0.5580
Pt 0.8771 0.7500 0.6751
Pt 0.3753 0.7500 0.5192
Pt 0.1246 0.2500 0.4029
Pt 0.1249 0.2500 0.7146
Pt 0.6247 0.2500 0.5586
Pt 0.6249 0.2500 0.7876
Pt 0.3748 0.7500 0.2872
Pt 0.3753 0.7500 0.4414
Zn 0.1252 0.2500 0.7872
Zn 0.8748 0.7500 0.2128

* space-group type: P2_1/m (11)
* uncorrected energy: -5.70 eV/atom
* total magnetic moment: 0.1 Bohr magnetons per cell
* energy of formation: 0.052 eV/atom

DFT (GGA-PBE) results for crystalline ZnPt10 at its relaxed geometry.

Lattice parameters (Å, degrees): 4.8013 4.8013 34.0039 90.83 90.83 47.73
Sites, in units of the cell vectors:
Pt 0.9503 0.9503 0.6746
Pt 0.3498 0.3498 0.6206
Pt 0.2492 0.2492 0.4329
Pt 0.8499 0.8499 0.4864
Pt 0.7508 0.7508 0.5671
Pt 0.9489 0.9489 0.4058
Pt 0.5448 0.5448 0.7321
Pt 0.1538 0.1538 0.2451
Pt 0.2494 0.2494 0.7015
Pt 0.6502 0.6502 0.3794
Pt 0.7506 0.7506 0.2985
Pt 0.0511 0.0511 0.5942
Pt 0.1501 0.1501 0.5136
Pt 0.0497 0.0497 0.3254
Pt 0.5496 0.5496 0.4598
Pt 0.3507 0.3507 0.3516
Pt 0.8462 0.8462 0.7549
Pt 0.4504 0.4504 0.5402
Pt 0.6493 0.6493 0.6484
Pt 0.4552 0.4552 0.2679
Zn 0.8460 0.8460 0.2247
Zn 0.1540 0.1540 0.7753

* space-group type: C2/m (12)
* uncorrected energy: -5.58 eV/atom
* total magnetic moment: 0.0 Bohr magnetons per cell
* energy of formation: 0.036 eV/atom

DFT (GGA-PBE) results for crystalline ZnPt19 at its relaxed geometry.

Lattice parameters (Å, degrees): 5.5564 3.9539 42.0861 90.00 90.00 90.00
Sites, in units of the cell vectors:
Pt 0.1248 0.2500 0.5169
Pt 0.6250 0.2500 0.3147
Pt 0.1278 0.2500 0.7892
Pt 0.3750 0.7500 0.6853
Pt 0.8749 0.7500 0.8176
Pt 0.3751 0.7500 0.5505
Pt 0.8755 0.7500 0.4157
Pt 0.3769 0.7500 0.2804
Pt 0.3779 0.7500 0.2108
Pt 0.3751 0.7500 0.6178
Pt 0.8749 0.7500 0.6184
Pt 0.3752 0.7500 0.3482
Pt 0.8750 0.7500 0.6859
Pt 0.8748 0.7500 0.3483
Pt 0.8752 0.7500 0.4831
Pt 0.1251 0.2500 0.1824
Pt 0.1252 0.2500 0.6517
Pt 0.6250 0.2500 0.2461
Pt 0.8722 0.7500 0.2108
Pt 0.8751 0.7500 0.7525
Pt 0.6231 0.2500 0.7196
Pt 0.6252 0.2500 0.5168
Pt 0.8750 0.7500 0.5506
Pt 0.1270 0.2500 0.7196
Pt 0.6221 0.2500 0.7892
Pt 0.6255 0.2500 0.5842
Pt 0.1249 0.2500 0.2475
Pt 0.1250 0.2500 0.4494
Pt 0.6249 0.2500 0.4495
Pt 0.8730 0.7500 0.2804
Pt 0.1250 0.2500 0.3141
Pt 0.1251 0.2500 0.3816
Pt 0.1245 0.2500 0.5843
Pt 0.3748 0.7500 0.4832
Pt 0.6248 0.2500 0.6518
Pt 0.3750 0.7500 0.7539
Pt 0.6249 0.2500 0.3822
Pt 0.3745 0.7500 0.4158
Zn 0.6250 0.2500 0.1829
Zn 0.3750 0.7500 0.8171

* space-group type: P2_1/m (11)
* uncorrected energy: -5.77 eV/atom
* total magnetic moment: 0.0 Bohr magnetons per cell
* energy of formation: 0.042 eV/atom

DFT (GGA-PBE) results for crystalline ZnPt3 at its relaxed geometry.

Lattice parameters (Å, degrees): 4.5964 5.6039 4.7644 90.00 90.00 90.00
Sites, in units of the cell vectors:
Pt 0.0000 0.2442 0.8315
Pt 0.5000 0.7442 0.1685
Pt 0.0000 0.5000 0.3306
Pt 0.5000 0.2558 0.1685
Pt 0.5000 0.0000 0.6694
Pt 0.0000 0.7558 0.8315
Zn 0.0000 0.0000 0.3320
Zn 0.5000 0.5000 0.6680

* space-group type: Pmmn (59)
* uncorrected energy: -5.11 eV/atom
* total magnetic moment: 0.0 Bohr magnetons per cell
* energy of formation: -0.251 eV/atom